## Li3CrFe3O8 (PBE with a Hubbard U)

Data for a relaxed Li3CrFe3O8 crystal.

```
Li3CrFe3O8
1.0
5.891 0.000 0.000
-2.945 5.101 0.000
0.000 0.000 9.571
Li Cr Fe O
6 2 6 16
Cartesian
0.000 1.781 0.000 Li
-1.403 4.211 0.000 Li
1.543 0.891 4.786 Li
1.403 4.211 0.000 Li
4.348 0.891 4.786 Li
2.945 3.320 4.786 Li
0.000 3.401 4.354 Cr
2.945 1.700 9.139 Cr
0.000 1.718 6.993 Fe
-1.457 4.242 6.993 Fe
1.488 0.859 2.207 Fe
1.457 4.242 6.993 Fe
4.403 0.859 2.207 Fe
2.945 3.383 2.207 Fe
0.000 0.000 1.160 O
0.000 0.000 5.946 O
-1.300 2.651 5.692 O
0.000 1.714 3.362 O
-1.461 4.244 3.362 O
0.000 3.401 8.113 O
1.485 0.857 8.147 O
1.300 2.651 5.692 O
0.000 4.902 5.692 O
2.945 0.200 0.906 O
1.646 2.451 0.906 O
1.461 4.244 3.362 O
2.945 1.700 3.327 O
4.406 0.857 8.147 O
2.945 3.387 8.147 O
4.245 2.451 0.906 O
```

Values from the calculation:
As for the energy relative to the lowest polymorph listed for this composition: 23 meV/atom. As for the crystal system: hexagonal. As for the total energy: -189.6 eV/cell. The calculation puts the volume at 9.6 Å³/atom.